No. 1
Compound: Tc2O5
Source: OQMD
Functional: PBE
Structure: relaxed

Output
crystal system	monoclinic

```
7
Lattice="2.491 -4.445 0.000 2.491 4.445 0.000 -1.647 0.000 4.488" Properties=species:S:1:pos:R:3 pbc="T T T"
Tc 2.491 2.633 0.000
Tc 2.491 -2.633 0.000
O 0.490 0.000 0.232
O 2.354 2.561 3.136
O 3.273 1.293 0.956
O 3.273 -1.293 0.956
O 2.354 -2.561 3.136
```

***

No. 2
Compound: TcO4
Source: OQMD
Functional: PBE
Structure: relaxed

Output
crystal system	monoclinic

```
5
Lattice="4.829 -1.387 0.000 4.829 1.387 0.000 -2.167 0.000 4.360" Properties=species:S:1:pos:R:3 pbc="T T T"
Tc 0.000 0.000 0.000
O 0.278 0.000 1.695
O 1.330 0.000 4.267
O 3.923 0.000 3.881
O 7.237 0.000 2.281
```

***

No. 3
Compound: Tc2O5
Source: OQMD
Functional: PBE
Structure: relaxed

Output
crystal system	triclinic

```
7
Lattice="4.469 0.000 0.000 1.472 4.835 0.000 2.187 1.871 4.161" Properties=species:S:1:pos:R:3 pbc="T T T"
Tc 0.000 0.000 0.000
Tc 2.512 2.585 1.766
O 3.308 3.311 3.230
O 3.047 4.004 0.428
O 3.498 1.286 0.901
O 5.405 3.407 1.326
O 7.326 5.986 2.698
```

***

No. 4
Compound: Tc3O2
Source: OQMD
Functional: PBE
Structure: relaxed

Output
crystal system	trigonal

```
10
Lattice="3.011 1.738 3.835 -3.011 1.738 3.835 0.000 -3.477 3.835" Properties=species:S:1:pos:R:3 pbc="T T T"
Tc -1.893 0.198 4.794
Tc -1.118 -1.540 6.712
Tc 0.774 -1.738 4.794
Tc -0.774 1.738 6.712
Tc 1.118 1.540 4.794
Tc 1.893 -0.198 6.712
O 0.000 0.000 1.500
O 0.000 0.000 4.253
O 0.000 0.000 7.253
O 0.000 0.000 10.005
```

***

No. 5
Compound: TcTe2O4
Source: OQMD
Functional: PBE
Structure: relaxed

Output
crystal system	cubic

```
14
Lattice="0.000 4.996 4.996 4.996 0.000 4.996 4.996 4.996 0.000" Properties=species:S:1:pos:R:3 pbc="T T T"
Tc 1.249 1.249 1.249
Tc 8.743 8.743 8.743
Te 4.996 2.498 2.498
Te 2.498 4.996 2.498
Te 2.498 2.498 4.996
Te 4.996 4.996 4.996
O 7.726 4.764 4.764
O 2.266 2.266 2.266
O 5.228 5.228 2.266
O 5.228 2.266 5.228
O 4.764 7.726 4.764
O 4.764 4.764 7.726
O 7.726 7.726 7.726
O 2.266 5.228 5.228
```

***

No. 6
Compound: Tc2Te2O5
Source: OQMD
Functional: PBE
Structure: relaxed

Output
crystal system	tetragonal

```
9
Lattice="3.733 0.000 0.000 0.000 3.733 0.000 0.000 0.000 7.668" Properties=species:S:1:pos:R:3 pbc="T T T"
Tc 0.000 0.000 1.488
Tc 0.000 0.000 6.180
Te 1.866 1.866 0.000
Te 1.866 1.866 3.834
O 0.000 0.000 3.834
O 0.000 1.866 2.230
O 0.000 1.866 5.438
O 1.866 0.000 2.230
O 1.866 0.000 5.438
```

***

No. 7
Compound: Tc2Te2O5
Source: OQMD
Functional: PBE
Structure: relaxed

Output
crystal system	tetragonal

```
9
Lattice="3.419 0.000 0.000 0.000 3.419 0.000 0.000 0.000 8.830" Properties=species:S:1:pos:R:3 pbc="T T T"
Tc 0.000 0.000 0.000
Tc 0.000 0.000 4.415
Te 1.709 1.709 1.632
Te 1.709 1.709 7.198
O 0.000 1.709 3.014
O 0.000 1.709 5.816
O 1.709 0.000 3.014
O 1.709 0.000 5.816
O 1.709 1.709 4.415
```

***

No. 8
Compound: TlTcO3
Source: OQMD
Functional: PBE
Structure: relaxed

Output
crystal system	triclinic

```
10
Lattice="5.101 0.000 0.000 -0.491 6.089 0.000 -1.320 -1.933 6.013" Properties=species:S:1:pos:R:3 pbc="T T T"
Tl 0.658 2.034 1.004
Tl 2.633 2.122 5.009
Tc 0.769 -0.757 3.419
Tc 2.522 4.913 2.595
O -0.346 -0.265 1.988
O 0.818 0.203 4.915
O 1.097 3.652 3.396
O 2.194 0.504 2.617
O 2.473 3.953 1.098
O 3.638 4.422 4.025
```

***

No. 9
Compound: TlTcO3
Source: OQMD
Functional: PBE
Structure: relaxed

Output
crystal system	trigonal

```
10
Lattice="2.750 1.588 5.631 -2.750 1.588 5.631 0.000 -3.175 5.631" Properties=species:S:1:pos:R:3 pbc="T T T"
Tl 0.000 0.000 2.238
Tl 0.000 0.000 14.655
Tc 0.000 0.000 5.679
Tc 0.000 0.000 11.213
O -1.652 -0.350 6.670
O -0.522 -1.606 10.222
O 1.129 -1.255 6.670
O -1.129 1.255 10.222
O 0.522 1.606 6.670
O 1.652 0.350 10.222
```

***

No. 10
Compound: Tl2TcO4
Source: OQMD
Functional: PBE
Structure: relaxed

Output
crystal system	cubic

```
14
Lattice="0.000 5.061 5.061 5.061 0.000 5.061 5.061 5.061 0.000" Properties=species:S:1:pos:R:3 pbc="T T T"
Tl 0.000 0.000 0.000
Tl 2.530 2.530 0.000
Tl 2.530 0.000 2.530
Tl 0.000 2.530 2.530
Tc 3.796 3.796 3.796
Tc 6.326 6.326 6.326
O 2.774 2.774 2.774
O 4.818 4.818 2.774
O 4.818 2.774 4.818
O 7.348 5.304 5.304
O 2.774 4.818 4.818
O 5.304 7.348 5.304
O 5.304 5.304 7.348
O 7.348 7.348 7.348
```

***

No. 11
Compound: TlTcO3
Source: OQMD
Functional: PBE
Structure: relaxed

Output
crystal system	trigonal

```
10
Lattice="2.795 1.614 4.555 -2.795 1.614 4.555 0.000 -3.227 4.555" Properties=species:S:1:pos:R:3 pbc="T T T"
Tl 0.000 0.000 3.417
Tl 0.000 0.000 10.250
Tc 0.000 0.000 0.000
Tc 0.000 0.000 6.833
O -1.405 0.794 5.694
O -1.390 -0.819 7.972
O 0.015 -1.614 5.694
O -0.015 1.614 7.972
O 1.390 0.819 5.694
O 1.405 -0.794 7.972
```

***

No. 12
Compound: TlTcO3
Source: OQMD
Functional: PBE
Structure: relaxed

Output
crystal system	trigonal

```
10
Lattice="3.370 1.946 4.514 -3.370 1.946 4.514 0.000 -3.892 4.514" Properties=species:S:1:pos:R:3 pbc="T T T"
Tl 0.000 0.000 0.000
Tl 0.000 0.000 6.771
Tc 0.000 0.000 3.385
Tc 0.000 0.000 10.156
O -2.499 -0.438 5.642
O -0.871 -2.383 7.899
O 1.629 -1.946 5.642
O -1.629 1.946 7.899
O 0.871 2.383 5.642
O 2.499 0.438 7.899
```

***

Number 1: raw total energy -7.63 eV per atom, total magnetic moment 0.002 Bohr magnetons per cell. Number 2: raw total energy -6.45 eV per atom, total magnetic moment 1.051 Bohr magnetons per cell. Number 3: raw total energy -7.68 eV per atom, total magnetic moment 0.002 Bohr magnetons per cell. Number 4: raw total energy -8.18 eV per atom, total magnetic moment 0.072 Bohr magnetons per cell. Number 5: raw total energy -5.76 eV per atom, total magnetic moment 0.005 Bohr magnetons per cell. Number 6: raw total energy -6.18 eV per atom, total magnetic moment 0.001 Bohr magnetons per cell. Number 7: raw total energy -5.65 eV per atom, total magnetic moment 0.001 Bohr magnetons per cell. Number 8: raw total energy -6.73 eV per atom, total magnetic moment 0.001 Bohr magnetons per cell. Number 9: raw total energy -6.61 eV per atom, total magnetic moment 1.936 Bohr magnetons per cell. Number 10: raw total energy -6.10 eV per atom, total magnetic moment 0.130 Bohr magnetons per cell. Number 11: raw total energy -6.60 eV per atom, total magnetic moment 0.010 Bohr magnetons per cell. Number 12: raw total energy -6.44 eV per atom, total magnetic moment 0.002 Bohr magnetons per cell.